1.
The following is a DFT calculation (PBE) of crystalline PuThRuRh at its relaxed geometry.

Calculated values
As for the space group: F-43m (216). Its formation energy is -0.41 eV/atom. The raw total energy comes out at -10.007 eV/atom.

a = 4.9290 Å, b = 4.9290 Å, c = 4.9290 Å
α = 60.00°, β = 60.00°, γ = 60.00°
Positions (direct):
Pu 0.0000 0.0000 0.0000
Th 0.5000 0.5000 0.5000
Ru 0.2500 0.2500 0.2500
Rh 0.7500 0.7500 0.7500

2.
The following is a DFT calculation (PBE) of crystalline PuTlRuRh at its relaxed geometry.

Calculated values
As for the space group: F-43m (216). Its formation energy is -0.13 eV/atom. The raw total energy comes out at -8.461 eV/atom.

a = 4.7293 Å, b = 4.7293 Å, c = 4.7293 Å
α = 60.00°, β = 60.00°, γ = 60.00°
Positions (direct):
Pu 0.0000 0.0000 0.0000
Tl 0.5000 0.5000 0.5000
Ru 0.7500 0.7500 0.7500
Rh 0.2500 0.2500 0.2500

3.
The following is a DFT calculation (PBE) of crystalline YPuRuRh at its relaxed geometry.

Calculated values
As for the space group: F-43m (216). Its formation energy is -0.41 eV/atom. The raw total energy comes out at -9.768 eV/atom.

a = 4.8245 Å, b = 4.8245 Å, c = 4.8245 Å
α = 60.00°, β = 60.00°, γ = 60.00°
Positions (direct):
Y 0.0000 0.0000 0.0000
Pu 0.5000 0.5000 0.5000
Ru 0.7500 0.7500 0.7500
Rh 0.2500 0.2500 0.2500

4.
The following is a DFT calculation (PBE) of crystalline PuZnRuRh at its relaxed geometry.

Calculated values
As for the space group: F-43m (216). Its formation energy is -0.35 eV/atom. The raw total energy comes out at -8.407 eV/atom.

a = 4.5433 Å, b = 4.5433 Å, c = 4.5433 Å
α = 60.00°, β = 60.00°, γ = 60.00°
Positions (direct):
Pu 0.0000 0.0000 0.0000
Zn 0.5000 0.5000 0.5000
Ru 0.2500 0.2500 0.2500
Rh 0.7500 0.7500 0.7500

5.
The following is a DFT calculation (PBE) of crystalline Pu3Rh5S12 at its relaxed geometry.

Calculated values
As for the space group: Ia-3d (230). The raw total energy comes out at -6.965 eV/atom. The calculation puts the uncorrected formation energy at -0.5014 eV/atom.

a = 12.5720 Å, b = 12.5720 Å, c = 12.5720 Å
α = 109.47°, β = 109.47°, γ = 109.47°
Positions (direct):
Pu 0.1250 0.2500 0.3750
Pu 0.1250 0.3750 0.7500
Pu 0.2500 0.3750 0.1250
Pu 0.2500 0.8750 0.6250
Pu 0.3750 0.1250 0.2500
Pu 0.3750 0.7500 0.1250
Pu 0.6250 0.2500 0.8750
Pu 0.6250 0.8750 0.7500
Pu 0.7500 0.1250 0.3750
Pu 0.7500 0.6250 0.8750
Pu 0.8750 0.6250 0.2500
Pu 0.8750 0.7500 0.6250
Rh 0.0000 0.0000 0.0000
Rh 0.0000 0.0000 0.5000
Rh 0.0000 0.5000 0.0000
Rh 0.0000 0.5000 0.5000
Rh 0.1250 0.7500 0.8750
Rh 0.1250 0.8750 0.2500
Rh 0.2500 0.1250 0.8750
Rh 0.2500 0.6250 0.3750
Rh 0.3750 0.2500 0.6250
Rh 0.3750 0.6250 0.7500
Rh 0.5000 0.0000 0.0000
Rh 0.5000 0.0000 0.5000
Rh 0.5000 0.5000 0.0000
Rh 0.5000 0.5000 0.5000
Rh 0.6250 0.3750 0.2500
Rh 0.6250 0.7500 0.3750
Rh 0.7500 0.3750 0.6250
Rh 0.7500 0.8750 0.1250
Rh 0.8750 0.1250 0.7500
Rh 0.8750 0.2500 0.1250
S 0.0391 0.2120 0.1242
S 0.0391 0.3271 0.9149
S 0.0851 0.6242 0.4122
S 0.0851 0.9609 0.6729
S 0.0878 0.7120 0.6729
S 0.0878 0.8758 0.4149
S 0.1242 0.0391 0.2120
S 0.1242 0.5851 0.9122
S 0.1729 0.2120 0.5878
S 0.1729 0.4609 0.5851
S 0.2120 0.1242 0.0391
S 0.2120 0.5878 0.1729
S 0.2880 0.3271 0.9122
S 0.2880 0.4609 0.3758
S 0.3271 0.9122 0.2880
S 0.3271 0.9149 0.0391
S 0.3758 0.2880 0.4609
S 0.3758 0.5878 0.9149
S 0.4122 0.0851 0.6242
S 0.4122 0.8271 0.7880
S 0.4149 0.0878 0.8758
S 0.4149 0.8271 0.5391
S 0.4609 0.3758 0.2880
S 0.4609 0.5851 0.1729
S 0.5391 0.4149 0.8271
S 0.5391 0.6242 0.7120
S 0.5851 0.1729 0.4609
S 0.5851 0.9122 0.1242
S 0.5878 0.1729 0.2120
S 0.5878 0.9149 0.3758
S 0.6242 0.4122 0.0851
S 0.6242 0.7120 0.5391
S 0.6729 0.0851 0.9609
S 0.6729 0.0878 0.7120
S 0.7120 0.5391 0.6242
S 0.7120 0.6729 0.0878
S 0.7880 0.4122 0.8271
S 0.7880 0.8758 0.9609
S 0.8271 0.5391 0.4149
S 0.8271 0.7880 0.4122
S 0.8758 0.4149 0.0878
S 0.8758 0.9609 0.7880
S 0.9122 0.1242 0.5851
S 0.9122 0.2880 0.3271
S 0.9149 0.0391 0.3271
S 0.9149 0.3758 0.5878
S 0.9609 0.6729 0.0851
S 0.9609 0.7880 0.8758

6.
The following is a DFT calculation (PBE) of crystalline PuRhS2 at its relaxed geometry.

Calculated values
As for the space group: R3m (160). For the excess energy over the best structure of this formula in the dataset, the calculation gives 0 meV per atom. The raw total energy comes out at -8.392 eV/atom. The calculation puts the uncorrected formation energy at -0.9076 eV/atom.

a = 6.2824 Å, b = 6.2824 Å, c = 6.2824 Å
α = 35.03°, β = 35.03°, γ = 35.03°
Positions (direct):
Pu 0.0000 0.0000 0.0000
Rh 0.1823 0.1823 0.1823
S 0.5751 0.5751 0.5751
S 0.7666 0.7666 0.7666